[1]
VASP calculation (PBE) on an optimized crystal structure of RbCd4GaAg2.

Summary:
ρ ... 6.353 g/cm3
Formation enthalpy at 0 K ... 0.036 eV/atom

Cell: 11.284 11.284 11.284 Å, 24.34 24.34 24.34°
Sites, in units of the cell vectors:
Rb (0.000, 0.000, 0.000)
Cd (0.129, 0.129, 0.129)
Cd (0.411, 0.411, 0.411)
Cd (0.589, 0.589, 0.589)
Cd (0.871, 0.871, 0.871)
Ga (0.500, 0.500, 0.500)
Ag (0.235, 0.235, 0.235)
Ag (0.765, 0.765, 0.765)

[2]
VASP calculation (PBE) on an optimized crystal structure of RbCdGaAg2.

Summary:
ρ ... 5.490 g/cm3
Formation enthalpy at 0 K ... 0.071 eV/atom

Cell: 5.175 5.175 5.459 Å, 90.00 90.00 90.00°
Sites, in units of the cell vectors:
Rb (0.000, 0.000, 0.000)
Cd (0.500, 0.500, 0.000)
Ga (0.500, 0.500, 0.500)
Ag (0.000, 0.500, 0.500)
Ag (0.500, 0.000, 0.500)